Entry 1:
Computed, not measured: Np2PSe after structural relaxation at the PBE level of DFT.

extended XYZ file:
```
4
Lattice="1.9125 1.1042 7.3558 -1.9125 1.1042 7.3558 0.0000 -2.2084 7.3558" Properties=species:S:1:pos:R:3 pbc="T T T"
Np 0.0000 0.0000 0.0000
Np 0.0000 0.0000 3.5847
P 0.0000 0.0000 9.1189
Se 0.0000 0.0000 12.8560
```

Values from the calculation:
* ΔE to the lowest computed polymorph: 0.2194 eV per atom
* symmetry: No. 160
* mass density: 10.4 g/cm3
* Fermi-level density of states: 15.43 states/eV per cell
* formation energy without anion corrections: -0.776 eV per atom

Entry 2:
Computed, not measured: Np2PSe after structural relaxation at the PBE level of DFT.

extended XYZ file:
```
8
Lattice="4.1058 0.0000 0.0000 0.0000 6.5928 0.0000 0.0000 0.0000 7.2030" Properties=species:S:1:pos:R:3 pbc="T T T"
Np 1.0265 0.0200 1.6855
Np 1.0265 3.2764 1.6855
Np 3.0794 3.3164 5.5175
Np 3.0794 6.5729 5.5175
P 1.0265 4.9446 6.5996
P 3.0794 1.6482 0.6034
Se 1.0265 1.6482 4.1747
Se 3.0794 4.9446 3.0283
```

Values from the calculation:
* ΔE to the lowest computed polymorph: 0.1500 eV per atom
* symmetry: No. 59
* mass density: 9.9 g/cm3
* Fermi-level density of states: 23.74 states/eV per cell
* formation energy without anion corrections: -0.846 eV per atom

Entry 3:
Computed, not measured: NpPSe after structural relaxation at the PBE level of DFT.

extended XYZ file:
```
6
Lattice="3.9626 -2.0291 0.0000 3.9626 2.0291 0.0000 -1.4557 0.0000 9.6663" Properties=species:S:1:pos:R:3 pbc="T T T"
Np 0.6811 0.0000 1.7246
Np 5.7884 0.0000 7.9416
P 3.1285 0.0000 0.6385
P 3.3410 0.0000 9.0278
Se 0.4473 0.0000 6.5171
Se 6.0222 0.0000 3.1491
```

Values from the calculation:
* symmetry: No. 12
* mass density: 7.4 g/cm3
* Fermi-level density of states: 17.58 states/eV per cell
* formation energy without anion corrections: -0.696 eV per atom

Entry 4:
Computed, not measured: NpPSe after structural relaxation at the PBE level of DFT.

extended XYZ file:
```
3
Lattice="4.4579 0.0000 0.0000 -2.2290 3.8607 0.0000 0.0000 0.0000 3.8610" Properties=species:S:1:pos:R:3 pbc="T T T"
Np 0.0000 0.0000 0.0000
P 0.0000 2.5738 3.4925
Se 2.2290 1.2869 1.7334
```

Values from the calculation:
* symmetry: No. 156
* mass density: 8.7 g/cm3
* Fermi-level density of states: 7.99 states/eV per cell
* formation energy without anion corrections: -0.277 eV per atom

Entry 5:
Computed, not measured: SrNpP2Se8 after structural relaxation at the PBE level of DFT.

extended XYZ file:
```
12
Lattice="6.3631 0.0000 0.0000 -3.1816 5.5106 0.0000 0.0000 0.0000 9.5006" Properties=species:S:1:pos:R:3 pbc="T T T"
Sr 0.0000 0.0000 0.0000
Np 0.0000 0.0000 4.7503
P 0.0000 3.6737 7.2247
P 3.1816 1.8369 2.2760
Se -2.0187 3.6649 2.9311
Se 0.0000 3.6737 9.3939
Se 1.0170 1.9300 2.9311
Se 2.1799 0.0842 6.5695
Se 1.0016 5.4264 2.9311
Se 2.1645 3.5807 6.5695
Se 3.1816 1.8369 0.1068
Se 5.2002 1.8457 6.5695
```

Values from the calculation:
* symmetry: No. 147
* mass density: 5.1 g/cm3
* Fermi-level density of states: 6.24 states/eV per cell
* formation energy without anion corrections: -0.541 eV per atom

Entry 6:
Computed, not measured: Np4Te2PSe after structural relaxation at the PBE level of DFT.

extended XYZ file:
```
8
Lattice="7.2732 0.0000 0.0000 0.0000 4.2085 0.0000 -2.4368 0.0000 6.9385" Properties=species:S:1:pos:R:3 pbc="T T T"
Np 1.1431 0.0000 1.4954
Np -0.0774 2.1043 5.4055
Np 4.9138 2.1043 1.5330
Np 3.6933 0.0000 5.4431
Te -1.2184 0.0000 3.4693
Te 2.4182 2.1043 3.4693
P 0.0000 2.1043 0.0000
Se 3.6366 0.0000 0.0000
```

Values from the calculation:
* symmetry: No. 10
* mass density: 10.3 g/cm3
* Fermi-level density of states: 35.19 states/eV per cell
* formation energy without anion corrections: -0.777 eV per atom